1.
{"formula": "HoPuZnRu", "functional": "PBE-GGA", "state": "optimized geometry", "final_energy_ev_per_cell": -30.2, "n_ef_per_ev_cell": 9.69, "volume_a3_per_cell": 83.1, "magmom_total_mub_per_atom": 1.319, "ef_ev_per_atom": -0.187, "lattice_angstrom": [[-1.460, 4.670, -0.203], [-1.044, 2.053, -4.322], [-4.640, 1.068, -1.146]], "species": ["Pu", "Ho", "Zn", "Ru"], "frac_coords": [[0.500, 0.500, 0.500], [0.000, 0.000, 0.000], [0.750, 0.750, 0.750], [0.250, 0.250, 0.250]]}

=====

2.
{"formula": "Dy2ScZn", "functional": "PBE-GGA", "state": "optimized geometry", "final_energy_ev_per_cell": -17.0, "n_ef_per_ev_cell": 4.72, "volume_a3_per_cell": 100.2, "magmom_total_mub_per_atom": 0.000, "ef_ev_per_atom": -0.052, "lattice_angstrom": [[3.682, 0.000, 0.000], [0.000, 5.216, 0.000], [0.000, 0.000, 5.216]], "species": ["Sc", "Dy", "Dy", "Zn"], "frac_coords": [[0.500, 0.000, 0.000], [0.000, 0.000, 0.500], [0.000, 0.500, 0.000], [0.500, 0.500, 0.500]]}

=====

3.
{"formula": "RbPrF4", "functional": "PBE-GGA", "state": "optimized geometry", "final_energy_ev_per_cell": -141.0, "raw_formation_energy_ev_per_atom": -3.671, "n_ef_per_ev_cell": 0.00, "volume_a3_per_cell": 405.0, "magmom_total_mub_per_atom": 0.013, "lattice_angstrom": [[-3.093, 0.839, 2.104], [0.365, -5.786, 2.844], [9.623, 6.321, 11.626]], "species": ["Pr", "Pr", "Pr", "Pr", "F", "F", "F", "F", "F", "F", "F", "F", "F", "F", "F", "F", "F", "F", "F", "F", "Rb", "Rb", "Rb", "Rb"], "frac_coords": [[0.250, 0.252, 0.058], [0.250, 0.752, 0.442], [0.750, 0.748, 0.942], [0.750, 0.248, 0.558], [0.250, 0.609, 0.871], [0.250, 0.098, 0.186], [0.750, 0.999, 0.055], [0.750, 0.891, 0.371], [0.750, 0.391, 0.129], [0.750, 0.902, 0.814], [0.250, 0.501, 0.555], [0.750, 0.499, 0.445], [0.750, 0.402, 0.686], [0.250, 0.132, 0.464], [0.750, 0.368, 0.964], [0.250, 0.001, 0.945], [0.750, 0.868, 0.536], [0.250, 0.632, 0.036], [0.250, 0.109, 0.629], [0.250, 0.598, 0.314], [0.250, 0.723, 0.701], [0.250, 0.223, 0.799], [0.750, 0.777, 0.201], [0.750, 0.277, 0.299]]}

=====

4.
{"formula": "FeNCl2", "functional": "PBE-GGA", "state": "optimized geometry", "final_energy_ev_per_cell": -15.7, "raw_formation_energy_ev_per_atom": 1.186, "n_ef_per_ev_cell": 7.49, "volume_a3_per_cell": 64.6, "magmom_total_mub_per_atom": 0.250, "lattice_angstrom": [[-2.870, -0.471, 3.440], [-3.893, -2.185, -0.598], [-0.622, -4.048, 1.876]], "species": ["Fe", "N", "Cl", "Cl"], "frac_coords": [[0.500, 0.500, 0.500], [0.000, 0.000, 0.000], [0.250, 0.250, 0.250], [0.750, 0.750, 0.750]]}